(1)
{
  "formula": "Nd4Ag3Au",
  "functional": "PBE",
  "state": "optimized geometry",
  "magmom_total_mub_per_fu": 0.00,
  "spacegroup": "P4/mmm (123)",
  "rho_kg_m3": 8669,
  "final_energy_ev_per_cell": -34.01,
  "volume_a3_per_atom": 26.280,
  "crystal_system": "tetragonal",
  "e_above_lowest_polymorph_kj_per_mol_fu": 0,
  "lattice_angstrom": [[3.746, 0.000, 0.000], [0.000, 3.746, 0.000], [0.000, 0.000, 14.986]],
  "species": ["Nd", "Ag", "Au", "Nd", "Nd", "Ag", "Ag", "Nd"],
  "fractional_positions": [[0.000, 0.000, 0.374], [0.500, 0.500, 0.500], [0.500, 0.500, 0.000], [0.000, 0.000, 0.121], [0.000, 0.000, 0.879], [0.500, 0.500, 0.750], [0.500, 0.500, 0.250], [0.000, 0.000, 0.626]]
}

---

(2)
{
  "formula": "Tb2NdY5",
  "functional": "PBE",
  "state": "optimized geometry",
  "magmom_total_mub_per_fu": 0.00,
  "spacegroup": "Pbam (55)",
  "rho_kg_m3": 5793,
  "final_energy_ev_per_cell": -92.40,
  "volume_a3_per_atom": 32.487,
  "crystal_system": "orthorhombic",
  "lattice_angstrom": [[-4.034, 2.782, -1.221], [-0.649, -3.638, -6.145], [-8.537, -9.510, 6.532]],
  "species": ["Y", "Tb", "Nd", "Y", "Tb", "Y", "Tb", "Nd", "Y", "Y", "Tb", "Y", "Y", "Y", "Y", "Y"],
  "fractional_positions": [[0.000, 0.500, 0.500], [0.500, 0.750, 0.375], [0.000, 0.500, 0.000], [0.000, 0.000, 0.000], [0.500, 0.750, 0.875], [0.000, 0.500, 0.250], [0.500, 0.250, 0.125], [0.000, 0.000, 0.500], [0.000, 0.500, 0.750], [0.500, 0.750, 0.125], [0.500, 0.250, 0.625], [0.000, 0.000, 0.750], [0.500, 0.250, 0.375], [0.500, 0.750, 0.625], [0.000, 0.000, 0.250], [0.500, 0.250, 0.875]]
}